w.
Compound: TlCd2Sb
Source: the Alexandria database
Functional: PBE
Structure: relaxed

abc: 5.3518 5.3518 5.3518
angles: 60.00 60.00 60.00
Fractional coordinates of all 4 atoms:
Tl 0.0000 0.0000 0.0000
Cd 0.2500 0.2500 0.2500
Cd 0.7500 0.7500 0.7500
Sb 0.5000 0.5000 0.5000

Symmetry: Fm-3m (225)

---

x.
Compound: TlCd2Sb
Source: the Alexandria database
Functional: PBE
Structure: relaxed

abc: 6.4473 6.4473 3.1212
angles: 102.06 102.06 114.00
Fractional coordinates of all 4 atoms:
Tl 0.0000 0.0000 0.0000
Cd 0.0000 0.5000 0.0000
Cd 0.5000 0.0000 0.0000
Sb 0.5000 0.5000 0.0000

Symmetry: C2/m (12)

---

Least stable: x

---

w.
Compound: TlCd2Sb
Source: the Alexandria database
Functional: PBE
Structure: relaxed

abc: 6.7732 6.7732 6.7732
angles: 102.55 102.55 124.44
Fractional coordinates of all 8 atoms:
Tl 0.0000 0.0000 0.0000
Tl 0.7500 0.2500 0.5000
Cd 0.1476 0.6250 0.0226
Cd 0.3750 0.3976 0.5226
Cd 0.6024 0.1250 0.9774
Cd 0.8750 0.8524 0.4774
Sb 0.2500 0.7500 0.5000
Sb 0.5000 0.5000 0.0000

Symmetry: I-42d (122)

---

x.
Compound: TlCd2Sb
Source: the Alexandria database
Functional: PBE
Structure: relaxed

abc: 3.3608 5.3188 6.2203
angles: 90.00 90.15 90.00
Fractional coordinates of all 4 atoms:
Tl 0.0000 0.0000 0.0000
Cd 0.4999 0.5000 0.2433
Cd 0.5001 0.5000 0.7567
Sb 0.5000 0.0000 0.5000

Symmetry: P2/m (10)

---

y.
Compound: TlCd2Sb
Source: the Alexandria database
Functional: PBE
Structure: relaxed

abc: 3.3902 5.4073 6.0396
angles: 90.00 90.04 90.00
Fractional coordinates of all 4 atoms:
Tl 0.0000 0.0000 0.0000
Cd 0.4981 0.0000 0.4959
Cd 0.4989 0.5000 0.2414
Sb 0.5032 0.5000 0.7462

Symmetry: Pm (6)

---

Least stable: w

---

w.
Compound: TlCdSb
Source: the Alexandria database
Functional: PBE
Structure: relaxed

abc: 3.4121 3.4121 8.2008
angles: 90.00 90.00 120.00
Fractional coordinates of all 3 atoms:
Tl 0.0000 0.0000 0.0000
Cd 0.6667 0.3333 0.3311
Sb 0.3333 0.6667 0.6433

Symmetry: P3m1 (156)

---

x.
Compound: TlCdSb
Source: the Alexandria database
Functional: PBE
Structure: relaxed

abc: 5.2924 5.2924 3.5006
angles: 90.00 90.00 120.00
Fractional coordinates of all 3 atoms:
Tl 0.0000 0.0000 0.0000
Cd 0.6667 0.3333 0.5000
Sb 0.3333 0.6667 0.5000

Symmetry: P-6m2 (187)

---

Least stable: w

---

w.
Compound: TlCdSb
Source: the Alexandria database
Functional: PBE
Structure: relaxed

abc: 7.4882 7.4882 7.4882
angles: 153.46 153.46 37.88
Fractional coordinates of all 3 atoms:
Tl 0.0000 0.0000 0.0000
Cd 0.6669 0.6669 0.0000
Sb 0.3174 0.3174 0.0000

Symmetry: I4mm (107)

---

x.
Compound: TlCdSb
Source: the Alexandria database
Functional: PBE
Structure: relaxed

abc: 4.7407 4.7397 8.2049
angles: 90.00 90.36 90.00
Fractional coordinates of all 6 atoms:
Tl 0.2480 0.2500 0.1475
Tl 0.7520 0.7500 0.8525
Cd 0.2497 0.7500 0.5000
Cd 0.7503 0.2500 0.5000
Sb 0.2526 0.2500 0.7250
Sb 0.7474 0.7500 0.2750

Symmetry: P2_1/m (11)

---

y.
Compound: TlCdSb
Source: the Alexandria database
Functional: PBE
Structure: relaxed

abc: 8.3590 5.0001 8.5493
angles: 90.00 90.00 90.00
Fractional coordinates of all 12 atoms:
Tl 0.0037 0.2500 0.1813
Tl 0.4963 0.7500 0.6813
Tl 0.5037 0.2500 0.3187
Tl 0.9963 0.7500 0.8187
Cd 0.1593 0.2500 0.5882
Cd 0.3407 0.7500 0.0882
Cd 0.6593 0.2500 0.9118
Cd 0.8407 0.7500 0.4118
Sb 0.2059 0.7500 0.4068
Sb 0.2941 0.2500 0.9068
Sb 0.7059 0.7500 0.0932
Sb 0.7941 0.2500 0.5932

Symmetry: Pnma (62)

---

Least stable: w